Zn2CrSe | GGA-PBE | optimized geometry

The structure in extended XYZ format:
```
8
Lattice="-4.466 0.139 6.186 0.524 -7.593 0.550 0.080 -3.478 4.843" Properties=species:S:1:pos:R:3 pbc="T T T"
Cr -1.971 -3.727 3.368
Cr -0.683 -7.399 4.380
Zn -2.814 -1.728 5.295
Zn -0.102 -5.601 2.178
Zn -1.431 -5.220 6.145
Zn -3.376 -9.315 9.539
Se 0.000 0.000 0.000
Se -3.178 -3.533 7.198
```

Results
- total magnetic moment (μB per formula unit) = 4.0
- calculated density (g/cm³) = 5.881
- total energy (eV for the cell shown) = -30.2
- formation energy from raw total energies (kJ per mole of atoms) = 14